{
  "formula": "Dy2CdPd4",
  "functional": "GGA-PBE",
  "state": "optimized geometry",
  "relative_energy_ev_per_atom": 0.0000,
  "formation_energy_mev_per_atom": -698,
  "space_group": "I4/mmm",
  "total_energy_ev_per_atom": -5.1109,
  "lattice_angstrom": [[-2.0403, 2.0403, 9.1531], [2.0403, -2.0403, 9.1531], [2.0403, 2.0403, -9.1531]],
  "species": ["Dy", "Dy", "Cd", "Pd", "Pd", "Pd", "Pd"],
  "fractional_positions": [[0.1316, 0.1316, 0.0000], [0.8684, 0.8684, 0.0000], [0.5000, 0.5000, 0.0000], [0.2500, 0.7500, 0.5000], [0.3550, 0.3550, 0.0000], [0.6450, 0.6450, 0.0000], [0.7500, 0.2500, 0.5000]]
}